Crystalline Tb2AgPd2 at its relaxed geometry. Source: Alexandria via LeMat-Bulk, functional PBE-GGA.

Unit cell a=7.6221 b=7.6221 c=3.7761 alpha=90.00 beta=90.00 gamma=90.00
Closest atoms and distances in Å follow each position.
Positions (direct):
Tb (0.1715, 0.3285, 0.0000)  6 Pd 2.85-2.99
Tb (0.3285, 0.8285, 0.0000)  6 Pd 2.85-2.99
Tb (0.6715, 0.1715, 0.0000)  6 Pd 2.85-2.99
Tb (0.8285, 0.6715, 0.0000)  6 Pd 2.85-2.99
Ag (0.0000, 0.0000, 0.5000)  4 Pd 2.99
Ag (0.5000, 0.5000, 0.5000)  4 Pd 2.99
Pd (0.1302, 0.6302, 0.5000)  1 Pd 2.81, 6 Tb 2.85-2.99, 2 Ag 2.99
Pd (0.3698, 0.1302, 0.5000)  1 Pd 2.81, 6 Tb 2.85-2.99, 2 Ag 2.99
Pd (0.6302, 0.8698, 0.5000)  1 Pd 2.81, 6 Tb 2.85-2.99, 2 Ag 2.99
Pd (0.8698, 0.3698, 0.5000)  1 Pd 2.81, 6 Tb 2.85-2.99, 2 Ag 2.99

Properties
* VASP energy: -5.2453 eV/atom
* size of the total moment: 0.00 Bohr magnetons per cell
* Fermi-level density of states: 4.75 states/eV/cell
* formation energy: -745.8 meV per atom